# 1
A plane-wave DFT calculation with PBE was carried out for crystalline Tb3Ho2ErSb6 at its relaxed geometry.

## Properties
N(E_F), states/eV/cell: 1.90
Energy relative to the elements, uncorrected, eV per atom: -1.1280
Crystal system: monoclinic

Unit cell a=4.380 b=8.760 c=9.793 alpha=102.85 beta=102.92 gamma=90.00
Atoms (fractional coordinates):
Tb (0.167, 0.833, 0.334)
Tb (0.833, 0.167, 0.666)
Tb (0.500, 0.500, 0.000)
Sb (0.666, 0.085, 0.332)
Sb (0.000, 0.752, 0.999)
Sb (0.667, 0.582, 0.334)
Sb (0.334, 0.915, 0.668)
Sb (0.333, 0.418, 0.666)
Sb (0.000, 0.248, 0.001)
Ho (0.833, 0.667, 0.667)
Ho (0.167, 0.333, 0.333)
Er (0.500, 0.000, 0.000)

---

# 2
A plane-wave DFT calculation with PBE was carried out for crystalline Li3SmZn3 at its relaxed geometry.

## Properties
Calculated formation energy, eV/atom: 0.20
N(E_F), states/eV/cell: 9.53
Crystal system: cubic

Unit cell a=6.595 b=6.595 c=6.595 alpha=90.00 beta=90.00 gamma=90.00
Atoms (fractional coordinates):
Zn (0.750, 0.500, 0.000)
Zn (0.500, 0.000, 0.250)
Zn (0.250, 0.500, 0.000)
Zn (0.000, 0.750, 0.500)
Zn (0.000, 0.250, 0.500)
Zn (0.500, 0.000, 0.750)
Sm (0.500, 0.500, 0.500)
Sm (0.000, 0.000, 0.000)
Li (0.750, 0.000, 0.500)
Li (0.000, 0.500, 0.750)
Li (0.250, 0.000, 0.500)
Li (0.500, 0.750, 0.000)
Li (0.000, 0.500, 0.250)
Li (0.500, 0.250, 0.000)

---

# 3
A plane-wave DFT calculation with PBE was carried out for crystalline Ca5SeS4 at its relaxed geometry.

## Properties
N(E_F), states/eV/cell: 0.00
Energy relative to the elements, uncorrected, eV per atom: -2.1240
Crystal system: monoclinic

Unit cell a=4.075 b=7.062 c=9.119 alpha=75.06 beta=77.09 gamma=73.23
Atoms (fractional coordinates):
Ca (0.798, 0.100, 0.305)
Ca (0.000, 0.500, 0.500)
Ca (0.397, 0.311, 0.896)
Ca (0.603, 0.689, 0.104)
Ca (0.202, 0.900, 0.695)
S (0.401, 0.798, 0.401)
S (0.200, 0.397, 0.202)
S (0.599, 0.202, 0.599)
S (0.800, 0.603, 0.798)
Se (0.000, 0.000, 0.000)

---

no.,VASP energy (eV/atom)
1,-5.490
2,-1.837
3,-5.124